Zn2Mo2Rh | Alexandria via LeMat-Bulk | GGA-PBE | relaxed; theoretical density = 8.8 Mg/m³; total DFT energy (no corrections) = -5.903 eV per atom; crystal system = tetragonal; formation energy from the elements = 409 meV per atom
1.0
-1.790 1.790 6.278
1.790 -1.790 6.278
1.790 1.790 -6.278
Zn Mo Rh
2 2 1
Direct
0.409 0.409 0.000
0.591 0.591 0.000
0.750 0.250 0.500
0.250 0.750 0.500
0.000 0.000 0.000